[1]
{"formula": "Mg3PbAu2", "functional": "PBE", "state": "optimized geometry", "ef_ev_per_atom": -0.43, "total_energy_ev_per_fu": -17.62, "lattice": [[3.373, 0.000, 0.000], [0.000, 3.373, 0.000], [0.000, 0.000, 10.967]], "species": ["Mg", "Mg", "Mg", "Pb", "Au", "Au"], "fractional_positions": [[0.000, 0.000, 0.000], [0.000, 0.000, 0.288], [0.000, 0.000, 0.712], [0.500, 0.500, 0.500], [0.500, 0.500, 0.147], [0.500, 0.500, 0.853]]}

***

[2]
{"formula": "Mg8PbAu2", "functional": "PBE", "state": "optimized geometry", "ef_ev_per_atom": -0.24, "total_energy_ev_per_fu": -25.68, "lattice": [[7.805, -2.968, 0.000], [7.805, 2.968, 0.000], [-1.650, 0.000, 5.259]], "species": ["Mg", "Mg", "Mg", "Mg", "Mg", "Mg", "Mg", "Mg", "Pb", "Au", "Au"], "fractional_positions": [[0.085, 0.085, 0.437], [0.141, 0.646, 0.022], [0.283, 0.283, 0.378], [0.354, 0.859, 0.978], [0.646, 0.141, 0.022], [0.717, 0.717, 0.622], [0.859, 0.354, 0.978], [0.915, 0.915, 0.563], [0.500, 0.500, 0.500], [0.238, 0.238, 0.827], [0.762, 0.762, 0.173]]}

***

[3]
{"formula": "Mg2PbAu", "functional": "PBE", "state": "optimized geometry", "ef_ev_per_atom": -0.25, "total_energy_ev_per_fu": -11.18, "lattice": [[-1.668, 2.273, 6.211], [1.668, -2.273, 6.211], [1.668, 2.273, -6.211]], "species": ["Mg", "Mg", "Pb", "Au"], "fractional_positions": [[0.000, 0.000, 0.000], [0.695, 0.195, 0.500], [0.303, 0.803, 0.500], [0.519, 0.519, 0.000]]}

***

[4]
{"formula": "Mg2PbAu", "functional": "PBE", "state": "optimized geometry", "ef_ev_per_atom": -0.21, "total_energy_ev_per_fu": -11.02, "lattice": [[1.744, 1.007, 9.019], [-1.744, 1.007, 9.019], [0.000, -2.014, 9.019]], "species": ["Mg", "Mg", "Pb", "Au"], "fractional_positions": [[0.236, 0.236, 0.236], [0.764, 0.764, 0.764], [0.000, 0.000, 0.000], [0.500, 0.500, 0.500]]}

***

[5]
{"formula": "MgPbAu3", "functional": "PBE", "state": "optimized geometry", "ef_ev_per_atom": 0.51, "e_above_lowest_polymorph_ev_per_atom": 0.335, "total_energy_ev_per_fu": -12.57, "lattice": [[5.321, 0.000, 0.000], [0.000, 5.321, 0.000], [0.000, 0.000, 5.321]], "species": ["Mg", "Pb", "Au", "Au", "Au"], "fractional_positions": [[0.000, 0.000, 0.000], [0.500, 0.500, 0.500], [0.000, 0.500, 0.500], [0.500, 0.000, 0.500], [0.500, 0.500, 0.000]]}

***

[6]
{"formula": "Mg3PbAu", "functional": "PBE", "state": "optimized geometry", "ef_ev_per_atom": -0.13, "e_above_lowest_polymorph_ev_per_atom": 0.000, "total_energy_ev_per_fu": -12.41, "lattice": [[5.117, 0.000, 0.000], [0.000, 5.117, 0.000], [0.000, 0.000, 5.117]], "species": ["Mg", "Mg", "Mg", "Pb", "Au"], "fractional_positions": [[0.000, 0.000, 0.500], [0.000, 0.500, 0.000], [0.500, 0.000, 0.000], [0.500, 0.500, 0.500], [0.000, 0.000, 0.000]]}

***

[7]
{"formula": "Mg2PbAu", "functional": "PBE", "state": "optimized geometry", "ef_ev_per_atom": -0.22, "total_energy_ev_per_fu": -11.07, "lattice": [[4.569, -1.761, 0.000], [4.569, 1.761, 0.000], [-1.428, 0.000, 5.618]], "species": ["Mg", "Mg", "Pb", "Au"], "fractional_positions": [[0.236, 0.236, 0.214], [0.764, 0.764, 0.786], [0.000, 0.000, 0.500], [0.500, 0.500, 0.000]]}

***

[8]
{"formula": "Mg2PbAu", "functional": "PBE", "state": "optimized geometry", "ef_ev_per_atom": -0.24, "total_energy_ev_per_fu": -11.14, "lattice": [[5.264, -1.750, 0.000], [5.264, 1.750, 0.000], [-1.344, 0.000, 4.881]], "species": ["Mg", "Mg", "Pb", "Au"], "fractional_positions": [[0.000, 0.000, 0.000], [0.221, 0.221, 0.675], [0.459, 0.459, 0.465], [0.721, 0.721, 0.102]]}